{"formula": "ZnSi2Sb4", "functional": "PBE-GGA", "state": "optimized geometry", "e_form_raw_ev_per_atom": 0.1608, "lattice_angstrom": [[5.5519, 0.0000, 0.0000], [0.0000, 5.5519, 0.0000], [0.0000, 0.0000, 6.5602]], "species": ["Sb", "Sb", "Sb", "Sb", "Si", "Si", "Zn"], "fractional_positions": [[0.2813, 0.7187, 0.7573], [0.7187, 0.2813, 0.7573], [0.2813, 0.2813, 0.2427], [0.7187, 0.7187, 0.2427], [0.0000, 0.5000, 0.5000], [0.5000, 0.0000, 0.5000], [0.0000, 0.0000, 0.0000]]}


{"formula": "VWI2", "functional": "PBE-GGA", "state": "optimized geometry", "e_form_raw_ev_per_atom": 1.2070, "lattice_angstrom": [[0.0000, 3.3529, 3.3529], [3.3529, 0.0000, 3.3529], [3.3529, 3.3529, 0.0000]], "species": ["I", "I", "V", "W"], "fractional_positions": [[0.7500, 0.7500, 0.7500], [0.2500, 0.2500, 0.2500], [0.0000, 0.0000, 0.0000], [0.5000, 0.5000, 0.5000]]}